Cu3HAu SCAN single point on PBEsol structure; total DFT energy (no corrections) = -118.11 eV/cell; N(E_F) = 1.16 states/eV/f.u.; SG = No. 221
1.0
-0.564 1.334 3.474
-3.016 -2.222 0.364
2.180 -2.729 1.402
H Au Cu
1 1 3
direct
0.000 0.000 0.000
0.500 0.500 0.500
0.000 0.500 0.000
0.000 0.000 0.500
0.500 0.000 0.000

Hf2Cu2Au SCAN single point on PBEsol structure; calculated formation energy = -41 kJ/mol of atoms; N(E_F) = 2.80 states/eV/f.u.; SG = No. 127
1.0
-2.517 2.200 -1.028
-4.340 -5.214 -0.531
-1.866 0.893 6.483
Hf Au Cu
4 2 4
direct
0.500 0.171 0.671
0.500 0.671 0.829
0.500 0.829 0.329
0.500 0.329 0.171
0.000 0.000 0.000
0.000 0.500 0.500
0.000 0.374 0.874
0.000 0.874 0.626
0.000 0.626 0.126
0.000 0.126 0.374

HfCu2Au2 SCAN single point on PBEsol structure; calculated formation energy = -24 kJ/mol of atoms; N(E_F) = 2.02 states/eV/f.u.; SG = No. 139
1.0
3.516 0.000 0.000
0.000 3.516 0.000
-1.758 -1.758 6.605
Hf Au Cu
1 2 2
direct
0.000 0.000 0.000
0.396 0.396 0.791
0.604 0.604 0.209
0.250 0.750 0.500
0.750 0.250 0.500

HfCu2Au SCAN single point on PBEsol structure; calculated formation energy = -33 kJ/mol of atoms; N(E_F) = 1.70 states/eV/f.u.; SG = No. 225
1.0
4.360 0.000 0.000
2.180 3.776 0.000
2.180 1.259 3.560
Hf Au Cu
1 1 2
direct
0.000 0.000 0.000
0.500 0.500 0.500
0.250 0.250 0.250
0.750 0.750 0.750